Record 1
First-principles (PBE-GGA) data for a relaxed Sm2GdCo2B2P3 crystal, as listed in OQMD via LeMat-Bulk.

Cell lengths 11.3110, 11.3110, 11.3110 Å; angles 160.03, 160.03, 28.39 degrees
With the nearest neighbours (Å) after each atom.
Sites, in units of the cell vectors:
Sm 0.1387 0.1387 0.0000  5 P 2.79-3.04
Sm 0.8613 0.8613 0.0000  5 P 2.79-3.04
Gd 0.5000 0.5000 0.0000  6 P 2.76-2.77
Co 0.2500 0.7500 0.5000  4 B 2.10
Co 0.7500 0.2500 0.5000  4 B 2.10
B 0.2844 0.2844 0.0000  1 P 1.96, 4 Co 2.10
B 0.7156 0.7156 0.0000  1 P 1.96, 4 Co 2.10
P 0.0000 0.0000 0.0000  4 Gd 2.77, 2 Sm 3.04
P 0.3740 0.3740 0.0000  1 B 1.96
P 0.6260 0.6260 0.0000  1 B 1.96

## Properties
symmetry = I4/mmm
total DFT energy (no corrections) = -6.649 eV per atom


Record 2
First-principles (PBE-GGA) data for a relaxed Tb2GdCo2B2P3 crystal, as listed in OQMD via LeMat-Bulk.

Cell lengths 11.2865, 11.2865, 11.2865 Å; angles 160.20, 160.20, 28.15 degrees
With the nearest neighbours (Å) after each atom.
Sites, in units of the cell vectors:
Tb 0.1386 0.1386 0.0000  5 P 2.76-3.04
Tb 0.8614 0.8614 0.0000  5 P 2.76-3.04
Gd 0.5000 0.5000 0.0000  6 P 2.74-2.75
Co 0.2500 0.7500 0.5000  4 B 2.08
Co 0.7500 0.2500 0.5000  4 B 2.08
B 0.2846 0.2846 0.0000  1 P 1.96, 4 Co 2.08
B 0.7154 0.7154 0.0000  1 P 1.96, 4 Co 2.08
P 0.0000 0.0000 0.0000  4 Gd 2.74, 2 Tb 3.04
P 0.3744 0.3744 0.0000  1 B 1.96
P 0.6256 0.6256 0.0000  1 B 1.96

## Properties
symmetry = I4/mmm
total DFT energy (no corrections) = -6.653 eV per atom


Record 3
First-principles (PBE-GGA) data for a relaxed Gd2TmCo2B2P3 crystal, as listed in OQMD via LeMat-Bulk.

Cell lengths 11.2311, 11.2311, 11.2311 Å; angles 160.18, 160.18, 28.17 degrees
With the nearest neighbours (Å) after each atom.
Sites, in units of the cell vectors:
Gd 0.1379 0.1379 0.0000  5 P 2.75-3.00
Gd 0.8621 0.8621 0.0000  5 P 2.75-3.00
Tm 0.5000 0.5000 0.0000  6 P 2.70-2.73
Co 0.2500 0.7500 0.5000  4 B 2.08
Co 0.7500 0.2500 0.5000  4 B 2.08
B 0.2854 0.2854 0.0000  1 P 1.97, 4 Co 2.08
B 0.7146 0.7146 0.0000  1 P 1.97, 4 Co 2.08
P 0.0000 0.0000 0.0000  4 Tm 2.73, 2 Gd 3.00
P 0.3760 0.3760 0.0000  1 B 1.97
P 0.6240 0.6240 0.0000  1 B 1.97

## Properties
symmetry = I4/mmm
total DFT energy (no corrections) = -6.647 eV per atom


Record 4
First-principles (PBE-GGA) data for a relaxed GdCo2SiB crystal, as listed in OQMD via LeMat-Bulk.

Cell lengths 5.4339, 5.4339, 5.4339 Å; angles 139.80, 139.80, 58.15 degrees
With the nearest neighbours (Å) after each atom.
Sites, in units of the cell vectors:
Gd 0.0000 0.0000 0.0000  8 Co 2.88-3.16, 4 B 2.92, 4 Si 2.94
Co 0.2310 0.7310 0.5000  2 B 2.09, 2 Si 2.26
Co 0.7310 0.2310 0.5000  2 B 2.09, 2 Si 2.26
Si 0.3644 0.3644 0.0000  4 Co 2.26
B 0.6310 0.6310 0.0000  4 Co 2.09

## Properties
symmetry = I4mm
total DFT energy (no corrections) = -6.808 eV per atom